(1)
An optimized crystal structure of FeCoIO2, computed with PBE with a Hubbard U.

a b c (Å): 3.7923 3.7923 6.4067
angles (deg): 90.00 90.00 90.00
With the nearest neighbours (Å) after each atom.
Sites, in units of the cell vectors:
I (0.0000, 0.0000, 0.5000)  4 Co 2.68
Fe (0.0000, 0.0000, 0.0000)  4 O 1.90
O (0.5000, 0.0000, 0.0000)  2 Fe 1.90
O (0.0000, 0.5000, 0.0000)  2 Fe 1.90
Co (0.5000, 0.5000, 0.5000)  4 I 2.68

Summary:
Crystal system ... tetragonal
Total magnetization ... 7.20 μB per formula unit
Space-group type ... P4/mmm (123)


(2)
An optimized crystal structure of FeCoIO2, computed with PBE with a Hubbard U.

a b c (Å): 3.8780 3.8780 5.5877
angles (deg): 90.00 90.00 90.00
With the nearest neighbours (Å) after each atom.
Sites, in units of the cell vectors:
Co (0.0000, 0.0000, 0.0000)  4 O 1.94
I (0.0000, 0.0000, 0.5000)  4 Fe 2.74, 2 Co 2.79
O (0.5000, 0.0000, 0.0000)  2 Co 1.94
O (0.0000, 0.5000, 0.0000)  2 Co 1.94
Fe (0.5000, 0.5000, 0.5000)  4 I 2.74

Summary:
Crystal system ... tetragonal
Total magnetization ... 7.53 μB per formula unit
Space-group type ... P4/mmm (123)


Which one sits at the top of the stability order? (1) does.